Model a:
# Ac2SnHg8 PBE-GGA optimized geometry
data_Ac2SnHg8
_cell_length_a 5.3740
_cell_length_b 7.3510
_cell_length_c 8.1411
_cell_angle_alpha 79.59
_cell_angle_beta 77.71
_cell_angle_gamma 85.87
_space_group_name_H-M_alt 'P -1'
_space_group_IT_number 2
loop_
_space_group_symop_operation_xyz
'x,y,z'
'-x,-y,-z'
loop_
_atom_site_label
_atom_site_fract_x
_atom_site_fract_y
_atom_site_fract_z
Ac1 0.2028 0.2530 0.1491
Sn1 0.0000 0.5000 0.5000
Hg1 0.2105 0.7406 0.1238
Hg2 0.2454 0.8777 0.4847
Hg3 0.2941 0.0582 0.7849
Hg4 0.3729 0.5125 0.7342
# V = 28.08 A^3/atom

***

Model b:
# Ac2SnHg8 PBE-GGA optimized geometry
data_Ac2SnHg8
_cell_length_a 18.7189
_cell_length_b 4.9407
_cell_length_c 7.2712
_cell_angle_alpha 90.00
_cell_angle_beta 112.39
_cell_angle_gamma 90.00
_space_group_name_H-M_alt 'C 1 2/m 1'
_space_group_IT_number 12
loop_
_space_group_symop_operation_xyz
'x,y,z'
'-x,-y,-z'
'-x,y,-z'
'x,-y,z'
'x+1/2,y+1/2,z'
'-x+1/2,-y+1/2,-z'
'-x+1/2,y+1/2,-z'
'x+1/2,-y+1/2,z'
loop_
_atom_site_label
_atom_site_fract_x
_atom_site_fract_y
_atom_site_fract_z
Ac1 0.2135 0.0000 0.2110
Sn1 0.0000 0.5000 0.5000
Hg1 0.0057 0.0000 0.2065
Hg2 0.1205 0.5000 0.9085
Hg3 0.1267 0.5000 0.3477
Hg4 0.1510 0.0000 0.6590
# V = 28.26 A^3/atom

***

What is the stability order? It is model a, model b, from most stable to least stable.

***

Model a:
# SrAc2Hg PBE-GGA optimized geometry
data_SrAc2Hg
_cell_length_a 4.1149
_cell_length_b 4.1149
_cell_length_c 35.2137
_cell_angle_alpha 90.00
_cell_angle_beta 90.00
_cell_angle_gamma 120.00
_space_group_name_H-M_alt 'R 3 m'
_space_group_IT_number 160
_space_group_name_Hall 'R 3 -2"'
loop_
_atom_site_label
_atom_site_fract_x
_atom_site_fract_y
_atom_site_fract_z
Sr1 0.0000 0.0000 0.0000
Ac1 0.0000 0.0000 0.2346
Ac2 0.0000 0.0000 0.4302
Hg1 0.0000 0.0000 0.8326
# V = 43.03 A^3/atom

***

Model b:
# SrAc2Hg PBE-GGA optimized geometry
data_SrAc2Hg
_cell_length_a 5.4667
_cell_length_b 5.4667
_cell_length_c 5.1241
_cell_angle_alpha 90.00
_cell_angle_beta 90.00
_cell_angle_gamma 90.00
_space_group_name_H-M_alt 'P 4/m m m'
_space_group_IT_number 123
_space_group_name_Hall '-P 4 2'
loop_
_atom_site_label
_atom_site_fract_x
_atom_site_fract_y
_atom_site_fract_z
Sr1 0.0000 0.0000 0.0000
Ac1 0.0000 0.5000 0.5000
Hg1 0.5000 0.5000 0.0000
# V = 38.28 A^3/atom

***

Model c:
# SrAc2Hg PBE-GGA optimized geometry
data_SrAc2Hg
_cell_length_a 4.0126
_cell_length_b 4.0126
_cell_length_c 38.2231
_cell_angle_alpha 90.00
_cell_angle_beta 90.00
_cell_angle_gamma 120.00
_space_group_name_H-M_alt 'R -3 m'
_space_group_IT_number 166
_space_group_name_Hall '-R 3 2"'
loop_
_atom_site_label
_atom_site_fract_x
_atom_site_fract_y
_atom_site_fract_z
Sr1 0.0000 0.0000 0.0000
Ac1 0.0000 0.0000 0.1023
Hg1 0.0000 0.0000 0.5000
# V = 44.42 A^3/atom

***

What is the stability order? It is model a, model b, model c, from most stable to least stable.

***

Model a:
# Sr2AcHg PBE-GGA optimized geometry
data_Sr2AcHg
_cell_length_a 4.0248
_cell_length_b 4.0248
_cell_length_c 37.7436
_cell_angle_alpha 90.00
_cell_angle_beta 90.00
_cell_angle_gamma 120.00
_space_group_name_H-M_alt 'R -3 m'
_space_group_IT_number 166
_space_group_name_Hall '-R 3 2"'
loop_
_atom_site_label
_atom_site_fract_x
_atom_site_fract_y
_atom_site_fract_z
Sr1 0.0000 0.0000 0.1036
Ac1 0.0000 0.0000 0.0000
Hg1 0.0000 0.0000 0.5000
# V = 44.12 A^3/atom

***

Model b:
# Sr2AcHg PBE-GGA optimized geometry
data_Sr2AcHg
_cell_length_a 4.1662
_cell_length_b 4.1662
_cell_length_c 34.2183
_cell_angle_alpha 90.00
_cell_angle_beta 90.00
_cell_angle_gamma 120.00
_space_group_name_H-M_alt 'R 3 m'
_space_group_IT_number 160
_space_group_name_Hall 'R 3 -2"'
loop_
_atom_site_label
_atom_site_fract_x
_atom_site_fract_y
_atom_site_fract_z
Sr1 0.0000 0.0000 0.0000
Sr2 0.0000 0.0000 0.1968
Ac1 0.0000 0.0000 0.7643
Hg1 0.0000 0.0000 0.5988
# V = 42.86 A^3/atom

***

Model c:
# Sr2AcHg PBE-GGA optimized geometry
data_Sr2AcHg
_cell_length_a 3.9628
_cell_length_b 3.9628
_cell_length_c 10.3412
_cell_angle_alpha 90.00
_cell_angle_beta 90.00
_cell_angle_gamma 90.00
_space_group_name_H-M_alt 'P 4/m m m'
_space_group_IT_number 123
_space_group_name_Hall '-P 4 2'
loop_
_atom_site_label
_atom_site_fract_x
_atom_site_fract_y
_atom_site_fract_z
Sr1 0.0000 0.0000 0.1941
Ac1 0.5000 0.5000 0.5000
Hg1 0.5000 0.5000 0.0000
# V = 40.60 A^3/atom

***

Model d:
# Sr2AcHg PBE-GGA optimized geometry
data_Sr2AcHg
_cell_length_a 5.2031
_cell_length_b 5.2031
_cell_length_c 5.8009
_cell_angle_alpha 90.00
_cell_angle_beta 90.00
_cell_angle_gamma 90.00
_space_group_name_H-M_alt 'P 4/m m m'
_space_group_IT_number 123
_space_group_name_Hall '-P 4 2'
loop_
_atom_site_label
_atom_site_fract_x
_atom_site_fract_y
_atom_site_fract_z
Sr1 0.0000 0.5000 0.0000
Ac1 0.0000 0.0000 0.5000
Hg1 0.5000 0.5000 0.5000
# V = 39.26 A^3/atom

***

What is the stability order? It is model c, model b, model d, model a, from most stable to least stable.

***

Model a:
# Ac2TbHg2 PBE-GGA optimized geometry
data_Ac2TbHg2
_cell_length_a 8.1251
_cell_length_b 8.1251
_cell_length_c 5.1010
_cell_angle_alpha 90.00
_cell_angle_beta 90.00
_cell_angle_gamma 90.00
_space_group_name_H-M_alt 'P 4/m b m'
_space_group_IT_number 127
_space_group_name_Hall '-P 4 2ab'
loop_
_atom_site_label
_atom_site_fract_x
_atom_site_fract_y
_atom_site_fract_z
Ac1 0.1703 0.3297 0.0000
Tb1 0.0000 0.0000 0.5000
Hg1 0.1341 0.6341 0.5000
# V = 33.67 A^3/atom

***

Model b:
# Ac2TbHg2 PBE-GGA optimized geometry
data_Ac2TbHg2
_cell_length_a 4.1607
_cell_length_b 7.5733
_cell_length_c 10.8314
_cell_angle_alpha 90.00
_cell_angle_beta 90.00
_cell_angle_gamma 90.00
_space_group_name_H-M_alt 'I m m m'
_space_group_IT_number 71
_space_group_name_Hall '-I 2 2'
loop_
_atom_site_label
_atom_site_fract_x
_atom_site_fract_y
_atom_site_fract_z
Ac1 0.0000 0.0000 0.2090
Tb1 0.0000 0.5000 0.0000
Hg1 0.0000 0.2928 0.5000
# V = 34.13 A^3/atom

***

What is the stability order? It is model a, model b, from most stable to least stable.

***

Model a:
# AcTbHg4 PBE-GGA optimized geometry
data_AcTbHg4
_cell_length_a 4.5872
_cell_length_b 4.5872
_cell_length_c 9.1177
_cell_angle_alpha 90.00
_cell_angle_beta 90.00
_cell_angle_gamma 90.00
_space_group_name_H-M_alt 'P 4/m m m'
_space_group_IT_number 123
_space_group_name_Hall '-P 4 2'
loop_
_atom_site_label
_atom_site_fract_x
_atom_site_fract_y
_atom_site_fract_z
Ac1 0.0000 0.0000 0.0000
Tb1 0.5000 0.5000 0.5000
Hg1 0.0000 0.5000 0.2712
# V = 31.98 A^3/atom

***

Model b:
# AcTbHg4 PBE-GGA optimized geometry
data_AcTbHg4
_cell_length_a 8.6379
_cell_length_b 8.6379
_cell_length_c 8.6379
_cell_angle_alpha 90.00
_cell_angle_beta 90.00
_cell_angle_gamma 90.00
_space_group_name_H-M_alt 'F -4 3 m'
_space_group_IT_number 216
_space_group_name_Hall 'F -4 2 3'
loop_
_atom_site_label
_atom_site_fract_x
_atom_site_fract_y
_atom_site_fract_z
Ac1 0.0000 0.0000 0.0000
Tb1 0.2500 0.2500 0.7500
Hg1 0.1245 0.1245 0.3755
# V = 26.85 A^3/atom

***

Model c:
# AcTbHg4 PBE-GGA optimized geometry
data_AcTbHg4
_cell_length_a 3.6317
_cell_length_b 5.0971
_cell_length_c 8.7540
_cell_angle_alpha 90.00
_cell_angle_beta 90.00
_cell_angle_gamma 90.00
_space_group_name_H-M_alt 'P m m m'
_space_group_IT_number 47
loop_
_space_group_symop_operation_xyz
'x,y,z'
'-x,-y,-z'
'-x,-y,z'
'x,y,-z'
'x,-y,-z'
'-x,y,z'
'-x,y,-z'
'x,-y,z'
loop_
_atom_site_label
_atom_site_fract_x
_atom_site_fract_y
_atom_site_fract_z
Ac1 0.0000 0.0000 0.0000
Tb1 0.0000 0.5000 0.5000
Hg1 0.5000 0.0000 0.3394
Hg2 0.5000 0.5000 0.1767
# V = 27.01 A^3/atom

***

What is the stability order? It is model c, model b, model a, from most stable to least stable.

***

Model a:
# AcTb3Hg2 PBE-GGA optimized geometry
data_AcTb3Hg2
_cell_length_a 16.8125
_cell_length_b 5.4252
_cell_length_c 9.0026
_cell_angle_alpha 90.00
_cell_angle_beta 115.59
_cell_angle_gamma 90.00
_space_group_name_H-M_alt 'C 1 2/m 1'
_space_group_IT_number 12
loop_
_space_group_symop_operation_xyz
'x,y,z'
'-x,-y,-z'
'-x,y,-z'
'x,-y,z'
'x+1/2,y+1/2,z'
'-x+1/2,-y+1/2,-z'
'-x+1/2,y+1/2,-z'
'x+1/2,-y+1/2,z'
loop_
_atom_site_label
_atom_site_fract_x
_atom_site_fract_y
_atom_site_fract_z
Ac1 0.1303 0.0000 0.1879
Tb1 0.0660 0.0000 0.7212
Tb2 0.1164 0.5000 0.5196
Tb3 0.1975 0.5000 0.9974
Hg1 0.0018 0.5000 0.8378
Hg2 0.2228 0.0000 0.6126
# V = 30.86 A^3/atom

***

Model b:
# AcTb3Hg2 PBE-GGA optimized geometry
data_AcTb3Hg2
_cell_length_a 3.7644
_cell_length_b 3.7644
_cell_length_c 12.6616
_cell_angle_alpha 90.00
_cell_angle_beta 90.00
_cell_angle_gamma 90.00
_space_group_name_H-M_alt 'P 4/m m m'
_space_group_IT_number 123
_space_group_name_Hall '-P 4 2'
loop_
_atom_site_label
_atom_site_fract_x
_atom_site_fract_y
_atom_site_fract_z
Ac1 0.0000 0.0000 0.0000
Tb1 0.5000 0.5000 0.2102
Tb2 0.5000 0.5000 0.5000
Hg1 0.0000 0.0000 0.3530
# V = 29.90 A^3/atom

***

What is the stability order? It is model b, model a, from most stable to least stable.

***

Model a:
# Ac2Tb3Hg2 PBE-GGA optimized geometry
data_Ac2Tb3Hg2
_cell_length_a 12.4813
_cell_length_b 4.9274
_cell_length_c 8.5579
_cell_angle_alpha 90.00
_cell_angle_beta 117.21
_cell_angle_gamma 90.00
_space_group_name_H-M_alt 'C 1 2/m 1'
_space_group_IT_number 12
loop_
_space_group_symop_operation_xyz
'x,y,z'
'-x,-y,-z'
'-x,y,-z'
'x,-y,z'
'x+1/2,y+1/2,z'
'-x+1/2,-y+1/2,-z'
'-x+1/2,y+1/2,-z'
'x+1/2,-y+1/2,z'
loop_
_atom_site_label
_atom_site_fract_x
_atom_site_fract_y
_atom_site_fract_z
Ac1 0.1359 0.0000 0.2879
Tb1 0.0000 0.5000 0.5000
Tb2 0.1316 0.5000 0.9569
Hg1 0.1436 0.0000 0.7050
# V = 33.43 A^3/atom

***

Model b:
# Ac2Tb3Hg2 PBE-GGA optimized geometry
data_Ac2Tb3Hg2
_cell_length_a 3.8134
_cell_length_b 32.2900
_cell_length_c 3.7388
_cell_angle_alpha 90.00
_cell_angle_beta 90.00
_cell_angle_gamma 90.00
_space_group_name_H-M_alt 'C m m m'
_space_group_IT_number 65
_space_group_name_Hall '-C 2 2'
loop_
_atom_site_label
_atom_site_fract_x
_atom_site_fract_y
_atom_site_fract_z
Ac1 0.0000 0.1960 0.0000
Tb1 0.0000 0.0725 0.0000
Tb2 0.0000 0.5000 0.5000
Hg1 0.0000 0.3739 0.5000
# V = 32.88 A^3/atom

***

What is the stability order? It is model a, model b, from most stable to least stable.

***

Model a:
# Ac3TbHg6 PBE-GGA optimized geometry
data_Ac3TbHg6
_cell_length_a 9.8486
_cell_length_b 5.4176
_cell_length_c 11.9057
_cell_angle_alpha 90.00
_cell_angle_beta 109.17
_cell_angle_gamma 90.00
_space_group_name_H-M_alt 'P 1 21/m 1'
_space_group_IT_number 11
loop_
_space_group_symop_operation_xyz
'x,y,z'
'-x,-y,-z'
'-x,y+1/2,-z'
'x,-y+1/2,z'
loop_
_atom_site_label
_atom_site_fract_x
_atom_site_fract_y
_atom_site_fract_z
Ac1 0.0078 0.2500 0.3807
Ac2 0.1556 0.7500 0.2200
Ac3 0.2799 0.2500 0.9908
Tb1 0.4396 0.2500 0.5883
Hg1 0.0300 0.7500 0.9185
Hg2 0.1862 0.2500 0.6940
Hg3 0.2706 0.7500 0.5150
Hg4 0.3501 0.7500 0.8279
Hg5 0.3748 0.2500 0.3093
Hg6 0.4561 0.7500 0.1354
# V = 30.00 A^3/atom

***

Model b:
# Ac3TbHg6 PBE-GGA optimized geometry
data_Ac3TbHg6
_cell_length_a 11.5457
_cell_length_b 11.5457
_cell_length_c 11.5457
_cell_angle_alpha 90.00
_cell_angle_beta 90.00
_cell_angle_gamma 90.00
_space_group_name_H-M_alt 'F m -3 m'
_space_group_IT_number 225
_space_group_name_Hall '-F 4 2 3'
loop_
_atom_site_label
_atom_site_fract_x
_atom_site_fract_y
_atom_site_fract_z
Ac1 0.0000 0.0000 0.0000
Ac2 0.2500 0.2500 0.2500
Tb1 0.0000 0.0000 0.5000
Hg1 0.0000 0.0000 0.2582
# V = 38.48 A^3/atom

***

What is the stability order? It is model a, model b, from most stable to least stable.

***

Model a:
# AcTbZnHg PBE-GGA optimized geometry
data_AcTbZnHg
_cell_length_a 3.7779
_cell_length_b 3.7779
_cell_length_c 7.7790
_cell_angle_alpha 90.00
_cell_angle_beta 90.00
_cell_angle_gamma 90.00
_space_group_name_H-M_alt 'P 4 m m'
_space_group_IT_number 99
loop_
_space_group_symop_operation_xyz
'x,y,z'
'-y,x,z'
'-x,-y,z'
'y,-x,z'
'-x,y,z'
'y,x,z'
'x,-y,z'
'-y,-x,z'
loop_
_atom_site_label
_atom_site_fract_x
_atom_site_fract_y
_atom_site_fract_z
Ac1 0.0000 0.0000 0.0000
Tb1 0.0000 0.0000 0.4713
Zn1 0.5000 0.5000 0.2687
Hg1 0.5000 0.5000 0.6994
# V = 27.76 A^3/atom

***

Model b:
# AcTbZnHg PBE-GGA optimized geometry
data_AcTbZnHg
_cell_length_a 7.6893
_cell_length_b 7.6893
_cell_length_c 7.6893
_cell_angle_alpha 90.00
_cell_angle_beta 90.00
_cell_angle_gamma 90.00
_space_group_name_H-M_alt 'F -4 3 m'
_space_group_IT_number 216
_space_group_name_Hall 'F -4 2 3'
loop_
_atom_site_label
_atom_site_fract_x
_atom_site_fract_y
_atom_site_fract_z
Ac1 0.0000 0.0000 0.0000
Tb1 0.0000 0.0000 0.5000
Zn1 0.2500 0.2500 0.7500
Hg1 0.2500 0.2500 0.2500
# V = 28.41 A^3/atom

***

What is the stability order? It is model a, model b, from most stable to least stable.

***

Model a:
# Ac3TcHg PBE-GGA optimized geometry
data_Ac3TcHg
_cell_length_a 5.6754
_cell_length_b 5.6754
_cell_length_c 5.6754
_cell_angle_alpha 90.00
_cell_angle_beta 90.00
_cell_angle_gamma 90.00
_space_group_name_H-M_alt 'P m -3 m'
_space_group_IT_number 221
_space_group_name_Hall '-P 4 2 3'
loop_
_atom_site_label
_atom_site_fract_x
_atom_site_fract_y
_atom_site_fract_z
Ac1 0.0000 0.0000 0.5000
Tc1 0.0000 0.0000 0.0000
Hg1 0.5000 0.5000 0.5000
# V = 36.56 A^3/atom

***

Model b:
# Ac3TcHg PBE-GGA optimized geometry
data_Ac3TcHg
_cell_length_a 9.2478
_cell_length_b 4.2524
_cell_length_c 9.5050
_cell_angle_alpha 90.00
_cell_angle_beta 111.80
_cell_angle_gamma 90.00
_space_group_name_H-M_alt 'P 1 21/m 1'
_space_group_IT_number 11
loop_
_space_group_symop_operation_xyz
'x,y,z'
'-x,-y,-z'
'-x,y+1/2,-z'
'x,-y+1/2,z'
loop_
_atom_site_label
_atom_site_fract_x
_atom_site_fract_y
_atom_site_fract_z
Ac1 0.0441 0.2500 0.1797
Ac2 0.2219 0.7500 0.5552
Ac3 0.3987 0.7500 0.1733
Tc1 0.4519 0.2500 0.4402
Hg1 0.2436 0.2500 0.8561
# V = 34.71 A^3/atom

***

What is the stability order? It is model b, model a, from most stable to least stable.